Below is crystalline HfC2Br at its relaxed geometry, with properties calculated at the PBE-GGA level.

a = 5.1314 Å, b = 5.1314 Å, c = 6.6021 Å
α = 67.13°, β = 67.13°, γ = 90.00°
Closest atoms and distances in Å follow each position.
Positions (direct):
Br1 0.2500 0.7500 0.5000  4 C 2.40
C1 0.6650 0.1250 0.2500  2 Hf 2.17, 2 Br 2.40
C2 0.8750 0.9150 0.7500  2 Hf 2.17, 2 Br 2.40
C3 0.0850 0.6250 0.2500  2 Hf 2.17, 2 Br 2.40
C4 0.3750 0.3350 0.7500  2 Hf 2.17, 2 Br 2.40
Hf1 0.0000 0.0000 0.0000  4 C 2.17
Hf2 0.7500 0.2500 0.5000  4 C 2.17
Br2 0.5000 0.5000 0.0000  4 C 2.40

Calculated values
Its volume is 145.2 Å³ per cell. Its crystal system is tetragonal. The value obtained for the density of states at the Fermi level is 5.156 states/eV/cell. The offset from the most stable computed form is 0 meV per atom. The space-group type is I-42d.

***

Below is crystalline HfCBr3 at its relaxed geometry, with properties calculated at the PBE-GGA level.

a = 4.6672 Å, b = 4.6672 Å, c = 4.6672 Å
α = 90.00°, β = 90.00°, γ = 90.00°
Closest atoms and distances in Å follow each position.
Positions (direct):
Br1 0.5000 0.0000 0.0000  2 C 2.33
C1 0.0000 0.0000 0.0000  6 Br 2.33
Hf1 0.5000 0.5000 0.5000  12 Br 3.30
Br2 0.0000 0.5000 0.0000  2 C 2.33
Br3 0.0000 0.0000 0.5000  2 C 2.33

Calculated values
Its volume is 101.7 Å³ per cell. Its crystal system is cubic. The value obtained for the density of states at the Fermi level is 3.899 states/eV/cell. The offset from the most stable computed form is 526 meV per atom. The space-group type is Pm-3m.

***

Below is crystalline Hf2CBr at its relaxed geometry, with properties calculated at the PBE-GGA level.

a = 4.4468 Å, b = 4.4468 Å, c = 4.4468 Å
α = 60.00°, β = 60.00°, γ = 60.00°
Closest atoms and distances in Å follow each position.
Positions (direct):
C1 0.0000 0.0000 0.0000  8 Hf 2.72
Hf1 0.2500 0.2500 0.2500  4 Br 2.72, 4 C 2.72
Hf2 0.7500 0.7500 0.7500  4 Br 2.72, 4 C 2.72
Br1 0.5000 0.5000 0.5000  8 Hf 2.72

Calculated values
Its volume is 62.2 Å³ per cell. Its crystal system is cubic. The value obtained for the density of states at the Fermi level is 1.867 states/eV/cell. The space-group type is Fm-3m.

***

Below is crystalline Hf2CBr2 at its relaxed geometry, with properties calculated at the PBE-GGA level.

a = 7.6896 Å, b = 7.6896 Å, c = 3.1351 Å
α = 90.00°, β = 90.00°, γ = 90.00°
Closest atoms and distances in Å follow each position.
Positions (direct):
Hf1 0.6695 0.8305 0.5000  6 Br 2.66-2.82
Br1 0.8673 0.6327 0.0000  6 Hf 2.66-2.82, 1 Br 2.89
Hf2 0.1695 0.6695 0.5000  6 Br 2.66-2.82
Hf3 0.3305 0.1695 0.5000  6 Br 2.66-2.82
Br2 0.6327 0.1327 0.0000  6 Hf 2.66-2.82, 1 Br 2.89
C1 0.0000 0.0000 0.0000  4 Br 3.00, 2 C 3.14, 8 Hf 3.26
Hf4 0.8305 0.3305 0.5000  6 Br 2.66-2.82
Br3 0.3673 0.8673 0.0000  6 Hf 2.66-2.82, 1 Br 2.89
Br4 0.1327 0.3673 0.0000  6 Hf 2.66-2.82, 1 Br 2.89
C2 0.5000 0.5000 0.0000  4 Br 3.00, 2 C 3.14, 8 Hf 3.26

Calculated values
Its volume is 185.4 Å³ per cell. Its crystal system is tetragonal. The value obtained for the density of states at the Fermi level is 5.031 states/eV/cell. The space-group type is P4/mbm.

***

Below is crystalline HfCBr3 at its relaxed geometry, with properties calculated at the PBE-GGA level.

a = 5.2462 Å, b = 5.2462 Å, c = 5.2462 Å
α = 90.00°, β = 90.00°, γ = 90.00°
Closest atoms and distances in Å follow each position.
Positions (direct):
Br1 0.0000 0.5000 0.0000  2 Hf 2.62
Br2 0.5000 0.0000 0.0000  2 Hf 2.62
C1 0.5000 0.5000 0.5000  12 Br 3.71
Br3 0.0000 0.0000 0.5000  2 Hf 2.62
Hf1 0.0000 0.0000 0.0000  6 Br 2.62

Calculated values
Its volume is 144.4 Å³ per cell. Its crystal system is cubic. The value obtained for the density of states at the Fermi level is 8.887 states/eV/cell. The offset from the most stable computed form is 0 meV per atom. The space-group type is Pm-3m.

***

Below is crystalline HfC2Br at its relaxed geometry, with properties calculated at the PBE-GGA level.

a = 4.2125 Å, b = 4.2125 Å, c = 4.2125 Å
α = 60.00°, β = 60.00°, γ = 60.00°
Closest atoms and distances in Å follow each position.
Positions (direct):
Hf1 0.5000 0.5000 0.5000  8 C 2.58
Br1 0.0000 0.0000 0.0000  8 C 2.58
C1 0.7500 0.7500 0.7500  4 Hf 2.58, 4 Br 2.58
C2 0.2500 0.2500 0.2500  4 Hf 2.58, 4 Br 2.58

Calculated values
Its volume is 52.9 Å³ per cell. Its crystal system is cubic. The value obtained for the density of states at the Fermi level is 3.690 states/eV/cell. The offset from the most stable computed form is 494 meV per atom. The space-group type is Fm-3m.

***

Calculated energy relative to the elements, uncorrected, 1510; 1187; 363; 1084; 662; 2004 meV/atom (same order as the records).